No. 1
PBE TbErTcPd, relaxed; total DFT energy (no corrections) = -26.28 eV for the cell shown; ΔH_f (0 K) = -0.382 eV per atom
1.0
-3.2868 3.4473 -1.0240
-3.5277 1.0294 3.1987
0.0664 4.2258 2.4235
Tb Tc Pd Er
1 1 1 1
Direct
0.2500 0.2500 0.2500
0.5000 0.5000 0.5000
0.0000 0.0000 0.0000
0.7500 0.7500 0.7500

---

No. 2
PBE Np2BiS5, relaxed; energy above the most stable polymorph in this dataset = 5 meV/atom; total DFT energy (no corrections) = -116.39 eV for the cell shown; formation energy from raw total energies = -0.9747 eV/atom
1.0
3.9163 0.0000 0.0000
0.0000 7.6483 0.0000
0.0000 0.0000 11.8899
Np Bi S
4 2 10
Direct
0.5000 0.5241 0.1745
0.5000 0.4759 0.8255
0.5000 0.9759 0.6745
0.5000 0.0241 0.3255
0.0000 0.5000 0.5000
0.0000 0.0000 0.0000
0.0000 0.0000 0.5000
0.0000 0.5000 0.0000
0.0000 0.8162 0.2026
0.0000 0.1838 0.7974
0.0000 0.6838 0.7026
0.0000 0.3162 0.2974
0.5000 0.6734 0.3858
0.5000 0.3266 0.6142
0.5000 0.8266 0.8858
0.5000 0.1734 0.1142

---

No. 3
PBE TiAlAg, relaxed; total DFT energy (no corrections) = -29.94 eV for the cell shown; ΔH_f (0 K) = -0.160 eV per atom
1.0
7.1106 0.0036 -0.0028
-0.0019 4.5999 -0.0006
0.7083 0.0007 3.0882
Al Ag Ti
2 2 2
Direct
0.0050 0.4077 0.1945
0.6815 0.4078 0.8565
0.3326 0.4078 0.5317
0.4037 0.9078 0.9958
0.7385 0.9078 0.3282
0.0514 0.9077 0.6708

---

No. 4
PBE La4PtBr5, relaxed; total DFT energy (no corrections) = -50.36 eV for the cell shown; formation energy from raw total energies = -1.6250 eV/atom
1.0
4.2006 0.0000 0.0000
0.0000 8.9393 -0.5902
-2.1003 -1.8900 9.5234
La Pt Br
4 1 5
Direct
0.3429 0.9034 0.6859
0.0003 0.7786 0.0006
0.6571 0.0966 0.3141
0.9997 0.2214 0.9994
0.5000 0.0000 0.0000
0.8329 0.6507 0.6659
0.8281 0.1547 0.6562
0.1719 0.8453 0.3438
0.5000 0.5000 0.0000
0.1671 0.3493 0.3341

---

No. 5
PBE RbTmPb2Br8, relaxed; total DFT energy (no corrections) = -42.41 eV for the cell shown; formation energy from raw total energies = -1.3474 eV/atom
1.0
7.2334 0.0464 -0.0032
0.0931 6.8616 -0.0042
0.0085 0.0151 9.3421
Rb Tm Pb Br
1 1 2 8
Direct
0.0000 0.0000 0.5000
0.0000 0.0000 0.0000
0.5000 0.4998 0.7524
0.5000 0.5002 0.2476
0.1539 0.7613 0.2096
0.6844 0.7637 0.9998
0.8453 0.2381 0.2094
0.8461 0.2387 0.7904
0.3156 0.2363 0.0002
0.1547 0.7619 0.7906
0.6210 0.7309 0.4998
0.3790 0.2691 0.5002

---

No. 6
PBE Sc2Tl2IrO6, relaxed; total DFT energy (no corrections) = -76.56 eV for the cell shown; formation energy from raw total energies = -1.8683 eV/atom
1.0
5.4988 -0.0243 0.0802
-2.7390 4.7681 0.0802
-0.9459 -1.6258 6.5208
Sc Tl Ir O
2 2 1 6
Direct
0.3345 0.6655 0.5000
0.6655 0.3345 0.5000
0.8350 0.1650 0.0000
0.1650 0.8350 0.0000
0.0000 0.0000 0.5000
0.7290 0.7290 0.6632
0.0461 0.3729 0.6603
0.2710 0.2710 0.3368
0.3729 0.0461 0.6603
0.9539 0.6271 0.3397
0.6271 0.9539 0.3397

---

No. 7
PBE HfAs2Ir, relaxed; energy above the most stable polymorph in this dataset = 0 meV/atom; total DFT energy (no corrections) = -58.35 eV for the cell shown; ΔH_f (0 K) = -0.265 eV per atom
1.0
-2.0073 2.8154 -2.3793
-2.8236 0.5671 3.0532
2.4461 7.9713 3.6666
As Ir Hf
4 2 2
Direct
0.6569 0.1250 0.2500
0.0931 0.6250 0.2500
0.3750 0.3431 0.7500
0.8750 0.9069 0.7500
0.0000 0.0000 0.0000
0.7500 0.2500 0.5000
0.5000 0.5000 0.0000
0.2500 0.7500 0.5000

---

No. 8
PBE TbSm3Al, relaxed; energy above the most stable polymorph in this dataset = 0 meV/atom; total DFT energy (no corrections) = -46.31 eV for the cell shown; ΔH_f (0 K) = -0.124 eV per atom
1.0
3.6587 0.0003 -0.0003
1.8290 6.5478 0.6010
-0.0022 0.0269 12.5571
Tb Sm Al
2 6 2
Direct
0.2187 0.5626 0.7459
0.7813 0.4374 0.2541
0.1427 0.7142 0.4471
0.3644 0.2722 0.0199
0.0349 0.9294 0.1962
0.8573 0.2858 0.5529
0.9651 0.0706 0.8038
0.6356 0.7278 0.9801
0.5508 0.8985 0.6186
0.4492 0.1015 0.3814

---

No. 9
PBE ZrScW, relaxed; energy above the most stable polymorph in this dataset = 466 meV/atom; total DFT energy (no corrections) = -25.83 eV for the cell shown; ΔH_f (0 K) = 0.669 eV per atom
1.0
4.5953 0.0000 0.0000
2.2976 3.9796 0.0000
2.2976 1.3265 3.7520
Sc W Zr
1 1 1
Direct
0.5000 0.5000 0.5000
0.2500 0.2500 0.2500
0.0000 0.0000 0.0000

---

No. 10
PBE BaV3W, relaxed; energy above the most stable polymorph in this dataset = 0 meV/atom; total DFT energy (no corrections) = -36.49 eV for the cell shown; ΔH_f (0 K) = 1.148 eV per atom
1.0
-1.3272 -3.0056 -3.6742
-1.3137 -3.4336 3.2833
-4.5616 1.8633 0.1234
Ba W V
1 1 3
Direct
0.5000 0.5000 0.5000
0.0000 0.0000 0.0000
0.0000 0.5000 0.0000
0.0000 0.0000 0.5000
0.5000 0.0000 0.0000

---

No. 11
PBE Dy4IrRh, relaxed; energy above the most stable polymorph in this dataset = 28 meV/atom; total DFT energy (no corrections) = -76.95 eV for the cell shown; ΔH_f (0 K) = -0.643 eV per atom
1.0
6.7906 0.3412 -0.0108
-0.6575 6.7675 -0.0108
-3.0768 -3.5662 6.8123
Dy Ir Rh
8 2 2
Direct
0.9842 0.2518 0.9998
0.5155 0.7480 0.9999
0.2519 0.4844 0.4998
0.7481 0.5156 0.5002
0.2520 0.9844 0.5001
0.4845 0.2520 0.0001
0.7480 0.0156 0.4999
0.0158 0.7482 0.0002
0.3750 0.6250 0.2500
0.6250 0.3750 0.7500
0.1251 0.8750 0.7500
0.8749 0.1250 0.2500

---

No. 12
PBE Ba2As2H2N, relaxed; total DFT energy (no corrections) = -32.34 eV for the cell shown
1.0
4.2766 0.0000 0.0000
2.1383 5.9982 -0.8980
2.1383 0.4778 6.0464
Ba As H N
2 2 2 1
Direct
0.5001 0.2265 0.7733
0.4999 0.7735 0.2267
0.1447 0.3553 0.3552
0.8553 0.6447 0.6448
0.1223 0.8776 0.8778
0.8777 0.1224 0.1222
0.0000 0.0000 0.0000